# Ba2FeOsO | Alexandria | PBE with a Hubbard U | relaxed
# Electronic total energy in eV/cell: -24.253
# Total moment in μB/atom: 0.7392
# Crystal system: tetragonal
data_Ba2FeOsO
_space_group_name_H-M_alt 'P 4/m m m'
_space_group_IT_number 123
_space_group_name_Hall '-P 4 2'
_cell_length_a 6.083
_cell_length_b 6.083
_cell_length_c 3.571
_cell_angle_alpha 90.00
_cell_angle_beta 90.00
_cell_angle_gamma 90.00
loop_
_atom_site_label
_atom_site_type_symbol
_atom_site_fract_x
_atom_site_fract_y
_atom_site_fract_z
Ba1 Ba 0.000 0.500 0.000
Fe1 Fe 0.000 0.000 0.000
Os1 Os 0.500 0.500 0.500
O1 O 0.000 0.000 0.500